(1)
The following is a DFT calculation (PBE) of ErLuPd after structural relaxation.

Its crystal system is cubic. For the total energy, the calculation gives -5.283 eV per atom. The energy relative to the lowest polymorph listed for this composition is 0.146 eV per atom. For the energy relative to the elements, the calculation gives -0.529 eV per atom.

a = 6.778 Å, b = 6.778 Å, c = 6.778 Å
α = 90.00°, β = 90.00°, γ = 90.00°
Fractional coordinates of all 12 atoms:
Er 0.000 0.000 0.000
Er 0.000 0.500 0.500
Er 0.500 0.000 0.500
Er 0.500 0.500 0.000
Lu 0.000 0.000 0.500
Lu 0.000 0.500 0.000
Lu 0.500 0.000 0.000
Lu 0.500 0.500 0.500
Pd 0.250 0.250 0.250
Pd 0.250 0.750 0.750
Pd 0.750 0.250 0.750
Pd 0.750 0.750 0.250



(2)
The following is a DFT calculation (PBE) of ErLuPd after structural relaxation.

Its crystal system is orthorhombic. For the total energy, the calculation gives -5.419 eV per atom. The energy relative to the lowest polymorph listed for this composition is 0.010 eV per atom. For the energy relative to the elements, the calculation gives -0.665 eV per atom.

a = 6.966 Å, b = 4.786 Å, c = 8.641 Å
α = 90.00°, β = 90.00°, γ = 90.00°
Fractional coordinates of all 12 atoms:
Er 0.146 0.250 0.080
Er 0.354 0.750 0.580
Er 0.646 0.250 0.420
Er 0.854 0.750 0.920
Lu 0.016 0.250 0.672
Lu 0.484 0.750 0.172
Lu 0.516 0.250 0.828
Lu 0.984 0.750 0.328
Pd 0.239 0.250 0.405
Pd 0.261 0.750 0.905
Pd 0.739 0.250 0.095
Pd 0.761 0.750 0.595



(3)
The following is a DFT calculation (PBE) of ErLuPd after structural relaxation.

Its crystal system is orthorhombic. For the total energy, the calculation gives -5.429 eV per atom. The energy relative to the lowest polymorph listed for this composition is 0.000 eV per atom. For the energy relative to the elements, the calculation gives -0.675 eV per atom.

a = 6.979 Å, b = 4.792 Å, c = 8.619 Å
α = 90.00°, β = 90.00°, γ = 90.00°
Fractional coordinates of all 12 atoms:
Er 0.016 0.250 0.173
Er 0.484 0.750 0.673
Er 0.516 0.250 0.327
Er 0.984 0.750 0.827
Lu 0.144 0.250 0.579
Lu 0.356 0.750 0.079
Lu 0.644 0.250 0.921
Lu 0.856 0.750 0.421
Pd 0.243 0.250 0.905
Pd 0.257 0.750 0.405
Pd 0.743 0.250 0.595
Pd 0.757 0.750 0.095



(4)
The following is a DFT calculation (PBE) of ErLu6Pd2S2 after structural relaxation.

Its crystal system is orthorhombic. For the total energy, the calculation gives -5.596 eV per atom.

a = 8.849 Å, b = 8.849 Å, c = 8.849 Å
α = 155.35°, β = 67.69°, γ = 118.08°
Fractional coordinates of all 11 atoms:
Er 0.000 0.000 0.000
Lu 0.066 0.385 0.681
Lu 0.125 0.757 0.368
Lu 0.389 0.757 0.632
Lu 0.479 0.597 0.882
Lu 0.704 0.385 0.319
Lu 0.715 0.597 0.118
Pd 0.325 0.086 0.239
Pd 0.847 0.086 0.761
S 0.352 0.352 0.000
S 0.749 0.249 0.500



(5)
The following is a DFT calculation (PBE) of Er5Lu2Pd2Se2 after structural relaxation.

Its crystal system is orthorhombic. For the total energy, the calculation gives -5.457 eV per atom.

a = 9.043 Å, b = 9.043 Å, c = 9.043 Å
α = 155.44°, β = 67.54°, γ = 118.20°
Fractional coordinates of all 11 atoms:
Er 0.000 0.000 0.000
Er 0.110 0.747 0.363
Er 0.384 0.747 0.637
Er 0.468 0.590 0.878
Er 0.712 0.590 0.122
Lu 0.061 0.380 0.681
Lu 0.698 0.380 0.319
Pd 0.315 0.076 0.238
Pd 0.838 0.076 0.762
Se 0.342 0.342 0.000
Se 0.744 0.244 0.500



(6)
The following is a DFT calculation (PBE) of ErLu2Si4Pd4 after structural relaxation.

Its crystal system is orthorhombic. For the total energy, the calculation gives -6.052 eV per atom.

a = 7.863 Å, b = 7.863 Å, c = 7.863 Å
α = 150.05°, β = 127.53°, γ = 61.60°
Fractional coordinates of all 11 atoms:
Er 0.000 0.000 0.000
Lu 0.376 0.876 0.500
Lu 0.624 0.124 0.500
Si 0.220 0.220 0.000
Si 0.320 0.500 0.820
Si 0.680 0.500 0.180
Si 0.780 0.780 0.000
Pd 0.027 0.326 0.701
Pd 0.375 0.674 0.701
Pd 0.625 0.326 0.299
Pd 0.973 0.674 0.299



What did the fourth record say?
The following is a DFT calculation (PBE) of ErLu6Pd2S2 after structural relaxation.

Its crystal system is orthorhombic. For the total energy, the calculation gives -5.596 eV per atom.

a = 8.849 Å, b = 8.849 Å, c = 8.849 Å
α = 155.35°, β = 67.69°, γ = 118.08°
Fractional coordinates of all 11 atoms:
Er 0.000 0.000 0.000
Lu 0.066 0.385 0.681
Lu 0.125 0.757 0.368
Lu 0.389 0.757 0.632
Lu 0.479 0.597 0.882
Lu 0.704 0.385 0.319
Lu 0.715 0.597 0.118
Pd 0.325 0.086 0.239
Pd 0.847 0.086 0.761
S 0.352 0.352 0.000
S 0.749 0.249 0.500



What did the second record say?
The following is a DFT calculation (PBE) of ErLuPd after structural relaxation.

Its crystal system is orthorhombic. For the total energy, the calculation gives -5.419 eV per atom. The energy relative to the lowest polymorph listed for this composition is 0.010 eV per atom. For the energy relative to the elements, the calculation gives -0.665 eV per atom.

a = 6.966 Å, b = 4.786 Å, c = 8.641 Å
α = 90.00°, β = 90.00°, γ = 90.00°
Fractional coordinates of all 12 atoms:
Er 0.146 0.250 0.080
Er 0.354 0.750 0.580
Er 0.646 0.250 0.420
Er 0.854 0.750 0.920
Lu 0.016 0.250 0.672
Lu 0.484 0.750 0.172
Lu 0.516 0.250 0.828
Lu 0.984 0.750 0.328
Pd 0.239 0.250 0.405
Pd 0.261 0.750 0.905
Pd 0.739 0.250 0.095
Pd 0.761 0.750 0.595



Copy entry 1 word for word.
The following is a DFT calculation (PBE) of ErLuPd after structural relaxation.

Its crystal system is cubic. For the total energy, the calculation gives -5.283 eV per atom. The energy relative to the lowest polymorph listed for this composition is 0.146 eV per atom. For the energy relative to the elements, the calculation gives -0.529 eV per atom.

a = 6.778 Å, b = 6.778 Å, c = 6.778 Å
α = 90.00°, β = 90.00°, γ = 90.00°
Fractional coordinates of all 12 atoms:
Er 0.000 0.000 0.000
Er 0.000 0.500 0.500
Er 0.500 0.000 0.500
Er 0.500 0.500 0.000
Lu 0.000 0.000 0.500
Lu 0.000 0.500 0.000
Lu 0.500 0.000 0.000
Lu 0.500 0.500 0.500
Pd 0.250 0.250 0.250
Pd 0.250 0.750 0.750
Pd 0.750 0.250 0.750
Pd 0.750 0.750 0.250